YSc | PBE | relaxed

Calculated values
polymorph energy (0 for the lowest one)	1.261	eV/atom
formation enthalpy at 0 K	1.283	eV/atom
DFT total energy	-5.114	eV/atom

Cell and atoms, written as POSCAR:
```
YSc
1.0
5.5080 0.0000 0.0000
-2.7540 4.7701 0.0000
0.0000 0.0000 5.9829
Y Sc
2 2
Direct
0.3333 0.6667 0.2500
0.6667 0.3333 0.7500
0.3333 0.6667 0.7500
0.6667 0.3333 0.2500
```